## NpCdCuAu (GGA-PBE)

Data for NpCdCuAu after structural relaxation.

```
NpCdCuAu
1.0
4.8925 0.0000 0.0000
2.4463 4.2371 0.0000
2.4463 1.4124 3.9947
Np Au Cu Cd
1 1 1 1
direct
0.5000 0.5000 0.5000
0.7500 0.7500 0.7500
0.2500 0.2500 0.2500
0.0000 0.0000 0.0000
```

Computed properties:
The space group is No. 216. The formation energy comes out at 0.078 eV/atom. The total magnetization comes out at 1.095 μB/atom. The calculation puts the total energy at -5.229 eV/atom.

## LiPu6Se8 (GGA-PBE)

Data for LiPu6Se8 after structural relaxation.

```
LiPu6Se8
1.0
7.1356 0.0000 4.1197
2.3785 6.7275 4.1197
0.0000 0.0000 8.2395
Li Pu Se
1 6 8
direct
0.0000 0.0000 0.0000
0.0000 0.5000 0.5000
0.5000 0.0000 0.0000
0.5000 0.5000 0.0000
0.0000 0.0000 0.5000
0.0000 0.5000 0.0000
0.5000 0.0000 0.5000
0.7500 0.7500 0.7500
0.2500 0.2500 0.2500
0.7534 0.2466 0.2466
0.2466 0.7534 0.7534
0.2466 0.2466 0.7534
0.7534 0.7534 0.2466
0.7534 0.2466 0.7534
0.2466 0.7534 0.2466
```

Computed properties:
The space group is No. 225. The uncorrected formation energy comes out at -1.47 eV/atom. The total magnetization comes out at 2.200 μB/atom. The calculation puts the total energy at -9.189 eV/atom.

## NdPu2Te3 (GGA-PBE)

Data for NdPu2Te3 after structural relaxation.

```
NdPu2Te3
1.0
4.4067 0.0000 0.0000
-2.2033 3.8163 0.0000
0.0000 0.0000 22.3362
Nd Pu Te
2 4 6
direct
0.0000 0.0000 0.2500
0.0000 0.0000 0.7500
0.3333 0.6667 0.9171
0.6667 0.3333 0.0829
0.6667 0.3333 0.4171
0.3333 0.6667 0.5829
0.0000 0.0000 0.0000
0.3333 0.6667 0.1630
0.3333 0.6667 0.3370
0.0000 0.0000 0.5000
0.6667 0.3333 0.6630
0.6667 0.3333 0.8370
```

Computed properties:
The space group is No. 194. The uncorrected formation energy comes out at -1.20 eV/atom. The total magnetization comes out at 1.901 μB/atom. The calculation puts the total energy at -8.339 eV/atom.

## Li6Ac3In5 (GGA-PBE)

Data for Li6Ac3In5 after structural relaxation.

```
Li6Ac3In5
1.0
-4.0888 -0.7161 -2.7906
-7.1209 1.1676 5.6512
-4.1464 8.1586 -0.5008
Li Ac In
6 3 5
direct
0.5000 0.6806 0.3194
0.5000 0.3194 0.6806
0.8592 0.4286 0.8530
0.1408 0.5714 0.1470
0.8592 0.8530 0.4286
0.1408 0.1470 0.5714
0.0000 0.0000 0.0000
0.6998 0.3002 0.3002
0.3002 0.6998 0.6998
0.6571 0.6949 0.9909
0.3429 0.3051 0.0091
0.6571 0.9909 0.6949
0.3429 0.0091 0.3051
0.0000 0.5000 0.5000
```

Computed properties:
The space group is No. 71. The formation energy comes out at -0.326 eV/atom. The total magnetization comes out at 0.000 μB/atom. The calculation puts the total energy at -3.005 eV/atom.

## LiTa2Si (GGA-PBE)

Data for LiTa2Si after structural relaxation.

```
LiTa2Si
1.0
-4.8669 1.5641 3.3756
2.4673 -3.9877 0.8809
0.6627 0.8535 2.6292
Li Si Ta
1 1 2
direct
0.0000 0.5000 0.5000
0.5000 0.5000 0.0000
0.0000 0.0000 0.0000
0.5000 0.0000 0.5000
```

Computed properties:
The space group is No. 12. The uncorrected formation energy comes out at 0.02 eV/atom. The total magnetization comes out at 0.000 μB/atom. The calculation puts the total energy at -7.744 eV/atom.